(1)
Here is crystalline SrSm6Se8 at its relaxed geometry from the Alexandria database. Energies are from PBE-GGA.

The structure in CIF format:
```
data_SrSm6Se8
_chemical_formula_sum 'Sr3 Sm18 Se24'
_cell_length_a 11.9862
_cell_length_b 11.9862
_cell_length_c 12.8335
_cell_angle_alpha 90.00
_cell_angle_beta 90.00
_cell_angle_gamma 120.00
_space_group_name_H-M_alt 'R -3'
_space_group_IT_number 148
_space_group_name_Hall '-R 3'
loop_
_atom_site_label
_atom_site_type_symbol
_atom_site_fract_x
_atom_site_fract_y
_atom_site_fract_z
Sr1 Sr 0.0000 0.0000 0.0000
Sm1 Sm 0.0104 0.8209 0.3793
Se1 Se 0.0000 0.0000 0.2321
Se2 Se 0.0263 0.7357 0.5911
```

Energy relative to the elements, uncorrected, eV per formula unit: -24.05
Energy above the most stable polymorph in this dataset, eV per atom: 0.272
Uncorrected energy, eV for the cell shown: -245.776
Calculated density, g cm⁻³: 5.059

---

(2)
Here is crystalline K3Ce3CuS8 at its relaxed geometry from the Alexandria database. Energies are from PBE-GGA.

The structure in CIF format:
```
data_K3Ce3CuS8
_chemical_formula_sum 'K6 Ce6 Cu2 S16'
_cell_length_a 13.667
_cell_length_b 8.359
_cell_length_c 8.582
_cell_angle_alpha 90.00
_cell_angle_beta 120.93
_cell_angle_gamma 90.00
_space_group_name_H-M_alt 'C 1 2/m 1'
_space_group_IT_number 12
_space_group_name_Hall '-C 2y'
loop_
_atom_site_label
_atom_site_type_symbol
_atom_site_fract_x
_atom_site_fract_y
_atom_site_fract_z
K1 K 0.000 0.000 0.000
K2 K 0.250 0.250 0.000
Ce1 Ce 0.000 0.500 0.500
Ce2 Ce 0.250 0.250 0.500
Cu1 Cu 0.000 0.000 0.500
S1 S 0.023 0.274 0.293
S2 S 0.197 0.000 0.664
S3 S 0.237 0.500 0.707
```

Energy relative to the elements, uncorrected, eV per formula unit: -21.61
Uncorrected energy, eV for the cell shown: -159.631
Calculated density, g cm⁻³: 3.387

---

(3)
Here is crystalline K2TbTlBr6 at its relaxed geometry from the Alexandria database. Energies are from PBE-GGA.

The structure in CIF format:
```
data_K2TbTlBr6
_chemical_formula_sum 'K6 Tb3 Tl3 Br18'
_cell_length_a 8.1133
_cell_length_b 8.1133
_cell_length_c 21.1078
_cell_angle_alpha 90.00
_cell_angle_beta 90.00
_cell_angle_gamma 120.00
_space_group_name_H-M_alt 'R 3'
_space_group_IT_number 146
_space_group_name_Hall 'R 3'
loop_
_atom_site_label
_atom_site_type_symbol
_atom_site_fract_x
_atom_site_fract_y
_atom_site_fract_z
K1 K 0.0000 0.0000 0.0000
K2 K 0.0000 0.0000 0.4888
Tb1 Tb 0.0000 0.0000 0.6951
Tl1 Tl 0.0000 0.0000 0.2053
Br1 Br 0.0223 0.3969 0.4338
Br2 Br 0.0673 0.6854 0.2784
```

Energy relative to the elements, uncorrected, eV per formula unit: -16.43
Uncorrected energy, eV for the cell shown: -106.984
Calculated density, g cm⁻³: 3.812

---

(4)
Here is crystalline CuAgHg2F8 at its relaxed geometry from the Alexandria database. Energies are from PBE-GGA.

The structure in CIF format:
```
data_CuAgHg2F8
_chemical_formula_sum 'Cu1 Ag1 Hg2 F8'
_cell_length_a 4.176
_cell_length_b 5.569
_cell_length_c 7.623
_cell_angle_alpha 87.26
_cell_angle_beta 88.42
_cell_angle_gamma 85.30
_space_group_name_H-M_alt 'P -1'
_space_group_IT_number 2
_space_group_name_Hall '-P 1'
loop_
_atom_site_label
_atom_site_type_symbol
_atom_site_fract_x
_atom_site_fract_y
_atom_site_fract_z
Cu1 Cu 0.000 0.000 0.000
Ag1 Ag 0.000 0.000 0.500
Hg1 Hg 0.425 0.490 0.755
F1 F 0.092 0.346 0.254
F2 F 0.124 0.124 0.774
F3 F 0.355 0.762 0.002
F4 F 0.409 0.753 0.484
```

Energy relative to the elements, uncorrected, eV per formula unit: -16.20
Uncorrected energy, eV for the cell shown: -38.720
Calculated density, g cm⁻³: 6.820

---

(5)
Here is crystalline Ce2TlGe at its relaxed geometry from the Alexandria database. Energies are from PBE-GGA.

The structure in CIF format:
```
data_Ce2TlGe
_chemical_formula_sum 'Ce6 Tl3 Ge3'
_cell_length_a 4.0418
_cell_length_b 4.0418
_cell_length_c 25.5213
_cell_angle_alpha 90.00
_cell_angle_beta 90.00
_cell_angle_gamma 120.00
_space_group_name_H-M_alt 'R 3 m'
_space_group_IT_number 160
_space_group_name_Hall 'R 3 -2"'
loop_
_atom_site_label
_atom_site_type_symbol
_atom_site_fract_x
_atom_site_fract_y
_atom_site_fract_z
Ce1 Ce 0.0000 0.0000 0.0000
Ce2 Ce 0.0000 0.0000 0.1948
Tl1 Tl 0.0000 0.0000 0.4313
Ge1 Ge 0.0000 0.0000 0.5978
```

Uncorrected energy, eV for the cell shown: -60.577
Energy of formation from the pure elements, kJ/mol of formula units: -129
Calculated density, g cm⁻³: 7.689

---

(6)
Here is crystalline TbDyInRu at its relaxed geometry from the Alexandria database. Energies are from PBE-GGA.

The structure in CIF format:
```
data_TbDyInRu
_chemical_formula_sum 'Tb1 Dy1 In1 Ru1'
_cell_length_a 3.387
_cell_length_b 3.387
_cell_length_c 8.292
_cell_angle_alpha 90.00
_cell_angle_beta 90.00
_cell_angle_gamma 90.00
_space_group_name_H-M_alt 'P 4 m m'
_space_group_IT_number 99
_space_group_name_Hall 'P 4 -2'
loop_
_atom_site_label
_atom_site_type_symbol
_atom_site_fract_x
_atom_site_fract_y
_atom_site_fract_z
Tb1 Tb 0.000 0.000 0.000
Dy1 Dy 0.000 0.000 0.593
In1 In 0.500 0.500 0.298
Ru1 Ru 0.500 0.500 0.795
```

Energy above the most stable polymorph in this dataset, eV per atom: 0.000
Uncorrected energy, eV for the cell shown: -23.063
Energy of formation from the pure elements, kJ/mol of formula units: -175
Calculated density, g cm⁻³: 9.381

---

(7)
Here is crystalline NaCa8 at its relaxed geometry from the Alexandria database. Energies are from PBE-GGA.

The structure in CIF format:
```
data_NaCa8
_chemical_formula_sum 'Na2 Ca16'
_cell_length_a 13.305
_cell_length_b 13.305
_cell_length_c 4.198
_cell_angle_alpha 90.00
_cell_angle_beta 90.00
_cell_angle_gamma 90.00
_space_group_name_H-M_alt 'I 4/m m m'
_space_group_IT_number 139
_space_group_name_Hall '-I 4 2'
loop_
_atom_site_label
_atom_site_type_symbol
_atom_site_fract_x
_atom_site_fract_y
_atom_site_fract_z
Na1 Na 0.000 0.000 0.000
Ca1 Ca 0.000 0.336 0.000
Ca2 Ca 0.164 0.164 0.500
```

Uncorrected energy, eV for the cell shown: -34.124
Energy of formation from the pure elements, kJ/mol of formula units: 26
Calculated density, g cm⁻³: 1.536

---

(8)
Here is crystalline Rb3Cd2Ag5 at its relaxed geometry from the Alexandria database. Energies are from PBE-GGA.

The structure in CIF format:
```
data_Rb3Cd2Ag5
_chemical_formula_sum 'Rb12 Cd8 Ag20'
_cell_length_a 11.971
_cell_length_b 15.181
_cell_length_c 6.814
_cell_angle_alpha 90.00
_cell_angle_beta 90.00
_cell_angle_gamma 90.00
_space_group_name_H-M_alt 'I b a m'
_space_group_IT_number 72
_space_group_name_Hall '-I 2 2c'
loop_
_atom_site_label
_atom_site_type_symbol
_atom_site_fract_x
_atom_site_fract_y
_atom_site_fract_z
Rb1 Rb 0.000 0.000 0.250
Rb2 Rb 0.216 0.388 0.000
Cd1 Cd 0.174 0.160 0.000
Ag1 Ag 0.000 0.234 0.250
Ag2 Ag 0.000 0.500 0.250
Ag3 Ag 0.092 0.367 0.500
```

Uncorrected energy, eV for the cell shown: -71.546
Energy of formation from the pure elements, kJ/mol of formula units: 106
Calculated density, g cm⁻³: 5.474

---

Result set for DOS(E_F): 6.46, 12.19, 0.00, 4.28, 9.56, 2.27, 9.77, 4.25 states/eV/f.u., one per record in the order listed.